1.
{
  "formula": "BaBePt",
  "functional": "PBE",
  "state": "relaxed",
  "e_above_lowest_polymorph_ev_per_atom": 0.075,
  "ef_kj_per_mol_atoms": -47,
  "lattice": [[-1.929, 0.088, -3.561], [6.044, -1.273, -1.060], [-2.906, -5.923, 1.519]],
  "species": ["Ba", "Ba", "Be", "Be", "Pt", "Pt"],
  "frac_coords": [[0.995, 0.428, 0.707], [0.685, 0.795, 0.309], [0.884, 0.222, 0.130], [0.296, 0.044, 0.958], [0.403, 0.255, 0.289], [0.731, 0.916, 0.832]]
}


2.
{
  "formula": "KAcP2",
  "functional": "PBE",
  "state": "relaxed",
  "e_above_lowest_polymorph_ev_per_atom": 0.000,
  "ef_kj_per_mol_atoms": -46,
  "lattice": [[4.143, 0.000, 0.000], [0.000, 5.027, 0.000], [0.000, 0.000, 5.027]],
  "species": ["P", "P", "Ac", "K"],
  "frac_coords": [[0.000, 0.500, 0.000], [0.000, 0.000, 0.500], [0.500, 0.500, 0.500], [0.500, 0.000, 0.000]]
}


3.
{
  "formula": "YTaBr2",
  "functional": "PBE",
  "state": "relaxed",
  "e_above_lowest_polymorph_ev_per_atom": 0.466,
  "lattice": [[10.110, 0.070, 0.041], [9.544, 3.336, 0.041], [9.544, 1.654, 2.898]],
  "species": ["Br", "Br", "Ta", "Y"],
  "frac_coords": [[0.982, 0.982, 0.982], [0.518, 0.518, 0.518], [0.250, 0.250, 0.250], [0.750, 0.750, 0.750]]
}


4.
{
  "formula": "YZr2ScCo",
  "functional": "PBE",
  "state": "relaxed",
  "ef_kj_per_mol_atoms": 4,
  "lattice": [[4.931, 0.000, 0.000], [0.000, 4.931, 0.000], [0.000, 0.000, 4.947]],
  "species": ["Co", "Sc", "Y", "Zr", "Zr"],
  "frac_coords": [[0.000, 0.000, 0.000], [0.000, 0.000, 0.500], [0.500, 0.500, 0.500], [0.500, 0.000, 0.000], [0.000, 0.500, 0.000]]
}


5.
{
  "formula": "K2Y2SnSe6",
  "functional": "PBE",
  "state": "relaxed",
  "energy_ev_per_atom": -4.99,
  "lattice": [[7.115, -0.017, 0.064], [-3.531, 6.176, 0.064], [-1.276, -2.193, 7.874]],
  "species": ["Sn", "Se", "Se", "Se", "Se", "Se", "Se", "Y", "Y", "K", "K"],
  "frac_coords": [[0.000, 0.000, 0.500], [0.610, 0.931, 0.299], [0.751, 0.751, 0.697], [0.931, 0.610, 0.299], [0.390, 0.069, 0.701], [0.249, 0.249, 0.303], [0.069, 0.390, 0.701], [0.668, 0.332, 0.500], [0.332, 0.668, 0.500], [0.169, 0.831, 0.000], [0.831, 0.169, 0.000]]
}


6.
{
  "formula": "RbTi3Cd",
  "functional": "PBE",
  "state": "relaxed",
  "e_above_lowest_polymorph_ev_per_atom": 0.583,
  "ef_kj_per_mol_atoms": 186,
  "lattice": [[-2.293, -3.561, -2.156], [3.073, 0.213, -3.620], [2.809, -3.140, 2.199]],
  "species": ["Cd", "Rb", "Ti", "Ti", "Ti"],
  "frac_coords": [[0.500, 0.500, 0.500], [0.000, 0.000, 0.000], [0.000, 0.000, 0.500], [0.000, 0.500, 0.000], [0.500, 0.000, 0.000]]
}


Number 1: calculated volume 26.00 A^3/atom. Number 2: calculated volume 26.18 A^3/atom. Number 3: calculated volume 23.63 A^3/atom. Number 4: calculated volume 24.06 A^3/atom. Number 5: calculated volume 31.59 A^3/atom. Number 6: calculated volume 21.47 A^3/atom.